Y3HgW | PBEsol | optimized geometry

Summary:
The symmetry is No. 221. The total energy comes out at -28.68 eV for the cell shown. The calculation puts the formation enthalpy at 0 K at 1.23 eV/atom. The spin magnetization is 3.83 μB per formula unit.

```
5
Lattice="5.433 0.000 0.000 0.000 5.433 0.000 0.000 0.000 5.433" Properties=species:S:1:pos:R:3 pbc="T T T"
Y 0.000 0.000 2.717
Y 0.000 2.717 0.000
Y 2.717 0.000 0.000
Hg 0.000 0.000 0.000
W 2.717 2.717 2.717
```